Record 1
# Li2LaTeRh

A relaxed structure of Li2LaTeRh (PBE-GGA, the Alexandria database).

SG ... P4/mmm (123)
DOS at the Fermi energy ... 3.13 states/eV per cell
Uncorrected formation energy ... 514 meV/atom
Raw total energy ... -3.3358 eV per atom
Volume ... 31.52 Å³/atom

The structure in CIF format:
```
data_Li2LaTeRh
_cell_length_a 5.765
_cell_length_b 5.765
_cell_length_c 4.742
_cell_angle_alpha 90.00
_cell_angle_beta 90.00
_cell_angle_gamma 90.00
_space_group_name_H-M_alt 'P 1'
_space_group_IT_number 1
_space_group_name_Hall 'P 1'
loop_
_atom_site_label
_atom_site_type_symbol
_atom_site_fract_x
_atom_site_fract_y
_atom_site_fract_z
Li1 Li 0.000 0.500 0.000
Li2 Li 0.500 0.000 0.000
La1 La 0.000 0.000 0.000
Te1 Te 0.500 0.500 0.500
Rh1 Rh 0.000 0.000 0.500
```

Record 2
# LiLa2TlRh

A relaxed structure of LiLa2TlRh (PBE-GGA, the Alexandria database).

Energy of formation ... -0.480 eV per atom
Energy above the lowest structure with this stoichiometry ... 0 meV/atom
SG ... P2_1/m (11)
DOS at the Fermi energy ... 8.02 states/eV per cell
Raw total energy ... -4.7771 eV per atom
Volume ... 27.01 Å³/atom

The structure in CIF format:
```
data_LiLa2TlRh
_cell_length_a 8.316
_cell_length_b 4.118
_cell_length_c 8.400
_cell_angle_alpha 90.00
_cell_angle_beta 110.11
_cell_angle_gamma 90.00
_space_group_name_H-M_alt 'P 1'
_space_group_IT_number 1
_space_group_name_Hall 'P 1'
loop_
_atom_site_label
_atom_site_type_symbol
_atom_site_fract_x
_atom_site_fract_y
_atom_site_fract_z
Li1 Li 0.065 0.250 0.146
Li2 Li 0.935 0.750 0.854
La1 La 0.222 0.750 0.516
La2 La 0.397 0.750 0.158
La3 La 0.603 0.250 0.842
La4 La 0.778 0.250 0.484
Tl1 Tl 0.175 0.250 0.823
Tl2 Tl 0.825 0.750 0.177
Rh1 Rh 0.387 0.250 0.393
Rh2 Rh 0.613 0.750 0.607
```

Record 3
# LiLa2TlRh

A relaxed structure of LiLa2TlRh (PBE-GGA, the Alexandria database).

Energy of formation ... -0.277 eV per atom
Energy above the lowest structure with this stoichiometry ... 203 meV/atom
SG ... P4/mmm (123)
DOS at the Fermi energy ... 5.89 states/eV per cell
Raw total energy ... -4.5738 eV per atom
Volume ... 32.19 Å³/atom

The structure in CIF format:
```
data_LiLa2TlRh
_cell_length_a 5.480
_cell_length_b 5.480
_cell_length_c 5.360
_cell_angle_alpha 90.00
_cell_angle_beta 90.00
_cell_angle_gamma 90.00
_space_group_name_H-M_alt 'P 1'
_space_group_IT_number 1
_space_group_name_Hall 'P 1'
loop_
_atom_site_label
_atom_site_type_symbol
_atom_site_fract_x
_atom_site_fract_y
_atom_site_fract_z
Li1 Li 0.000 0.000 0.000
La1 La 0.000 0.500 0.500
La2 La 0.500 0.000 0.500
Tl1 Tl 0.500 0.500 0.000
Rh1 Rh 0.500 0.500 0.500
```

Record 4
# LiLa2TlRh

A relaxed structure of LiLa2TlRh (PBE-GGA, the Alexandria database).

Energy of formation ... -0.352 eV per atom
Energy above the lowest structure with this stoichiometry ... 128 meV/atom
SG ... P4/mmm (123)
DOS at the Fermi energy ... 5.66 states/eV per cell
Raw total energy ... -4.6490 eV per atom
Volume ... 29.15 Å³/atom

The structure in CIF format:
```
data_LiLa2TlRh
_cell_length_a 5.481
_cell_length_b 5.481
_cell_length_c 4.852
_cell_angle_alpha 90.00
_cell_angle_beta 90.00
_cell_angle_gamma 90.00
_space_group_name_H-M_alt 'P 1'
_space_group_IT_number 1
_space_group_name_Hall 'P 1'
loop_
_atom_site_label
_atom_site_type_symbol
_atom_site_fract_x
_atom_site_fract_y
_atom_site_fract_z
Li1 Li 0.000 0.000 0.000
La1 La 0.000 0.500 0.500
La2 La 0.500 0.000 0.500
Tl1 Tl 0.500 0.500 0.000
Rh1 Rh 0.000 0.000 0.500
```

Record 5
# LiLaTmRh

A relaxed structure of LiLaTmRh (PBE-GGA, the Alexandria database).

Energy of formation ... -0.412 eV per atom
SG ... F-43m (216)
DOS at the Fermi energy ... 11.96 states/eV per cell
Raw total energy ... -5.0782 eV per atom
Volume ... 22.56 Å³/atom

The structure in CIF format:
```
data_LiLaTmRh
_cell_length_a 7.120
_cell_length_b 7.120
_cell_length_c 7.120
_cell_angle_alpha 90.00
_cell_angle_beta 90.00
_cell_angle_gamma 90.00
_space_group_name_H-M_alt 'P 1'
_space_group_IT_number 1
_space_group_name_Hall 'P 1'
loop_
_atom_site_label
_atom_site_type_symbol
_atom_site_fract_x
_atom_site_fract_y
_atom_site_fract_z
Li1 Li 0.000 0.000 0.000
Li2 Li 0.000 0.500 0.500
Li3 Li 0.500 0.000 0.500
Li4 Li 0.500 0.500 0.000
La1 La 0.250 0.250 0.750
La2 La 0.250 0.750 0.250
La3 La 0.750 0.250 0.250
La4 La 0.750 0.750 0.750
Tm1 Tm 0.250 0.250 0.250
Tm2 Tm 0.250 0.750 0.750
Tm3 Tm 0.750 0.250 0.750
Tm4 Tm 0.750 0.750 0.250
Rh1 Rh 0.000 0.000 0.500
Rh2 Rh 0.000 0.500 0.000
Rh3 Rh 0.500 0.000 0.000
Rh4 Rh 0.500 0.500 0.500
```

Record 6
# LiLa2URh6

A relaxed structure of LiLa2URh6 (PBE-GGA, the Alexandria database).

Energy of formation ... -0.417 eV per atom
SG ... C2/m (12)
DOS at the Fermi energy ... 6.09 states/eV per cell
Raw total energy ... -7.1337 eV per atom
Volume ... 19.82 Å³/atom

The structure in CIF format:
```
data_LiLa2URh6
_cell_length_a 6.018
_cell_length_b 6.018
_cell_length_c 7.203
_cell_angle_alpha 114.61
_cell_angle_beta 114.61
_cell_angle_gamma 60.09
_space_group_name_H-M_alt 'P 1'
_space_group_IT_number 1
_space_group_name_Hall 'P 1'
loop_
_atom_site_label
_atom_site_type_symbol
_atom_site_fract_x
_atom_site_fract_y
_atom_site_fract_z
Li1 Li 0.000 0.000 0.000
La1 La 0.240 0.240 0.721
La2 La 0.760 0.760 0.279
U1 U 0.500 0.500 0.500
Rh1 Rh 0.244 0.244 0.213
Rh2 Rh 0.245 0.726 0.213
Rh3 Rh 0.274 0.755 0.787
Rh4 Rh 0.726 0.245 0.213
Rh5 Rh 0.755 0.274 0.787
Rh6 Rh 0.756 0.756 0.787
```